Record 1
An optimized crystal structure of FeAg4F6, computed with PBE with a Hubbard U.

Cell: 7.0294 7.0294 7.1256 Å, 90.00 90.00 90.00°
Last column: nearest neighbours and their distance in Å.
Fractional positions:
Fe1 0.0000 0.0000 0.0000  6 F 1.93-1.99
Fe2 0.5000 0.5000 0.5000  6 F 1.93-1.99
Ag1 0.1411 0.3589 0.2500  6 F 2.61-2.71, 1 Ag 2.81
Ag2 0.1411 0.3589 0.7500  6 F 2.61-2.71, 1 Ag 2.81
Ag3 0.3589 0.8589 0.2500  6 F 2.61-2.71, 1 Ag 2.81
Ag4 0.3589 0.8589 0.7500  6 F 2.61-2.71, 1 Ag 2.81
Ag5 0.6411 0.1411 0.2500  6 F 2.61-2.71, 1 Ag 2.81
Ag6 0.6411 0.1411 0.7500  6 F 2.61-2.71, 1 Ag 2.81
Ag7 0.8589 0.6411 0.2500  6 F 2.61-2.71, 1 Ag 2.81
Ag8 0.8589 0.6411 0.7500  6 F 2.61-2.71, 1 Ag 2.81
F1 0.0000 0.0000 0.2713  1 Fe 1.93
F2 0.0000 0.0000 0.7287  1 Fe 1.93
F3 0.1141 0.7403 0.0000  1 Fe 1.99
F4 0.2403 0.6141 0.5000  1 Fe 1.99
F5 0.2597 0.1141 0.0000  1 Fe 1.99
F6 0.3859 0.2403 0.5000  1 Fe 1.99
F7 0.5000 0.5000 0.2287  1 Fe 1.93
F8 0.5000 0.5000 0.7713  1 Fe 1.93
F9 0.6141 0.7597 0.5000  1 Fe 1.99
F10 0.7403 0.8859 0.0000  1 Fe 1.99
F11 0.7597 0.3859 0.5000  1 Fe 1.99
F12 0.8859 0.2597 0.0000  1 Fe 1.99

Values from the calculation:
uncorrected energy: -3.86 eV per atom
calculated volume: 16.004 A^3/atom
spin magnetization: 0.45 μB per atom
crystal system: tetragonal

***

Record 2
An optimized crystal structure of Fe3Ag2F10, computed with PBE with a Hubbard U.

Cell: 9.7290 9.7290 7.7614 Å, 111.04 111.04 37.42°
Last column: nearest neighbours and their distance in Å.
Fractional positions:
Fe1 0.2425 0.7575 0.0000  6 F 2.06-2.17
Fe2 0.3134 0.3134 0.9703  6 F 1.88-2.01
Fe3 0.4195 0.4195 0.5280  6 F 1.88-2.03
Fe4 0.5805 0.5805 0.4720  6 F 1.88-2.03
Fe5 0.6866 0.6866 0.0297  6 F 1.88-2.01
Fe6 0.7575 0.2425 0.0000  6 F 2.06-2.17
Ag1 0.1080 0.1080 0.6988  4 F 2.44-2.73
Ag2 0.2154 0.2154 0.3624  3 F 2.44-2.60
Ag3 0.7846 0.7846 0.6376  3 F 2.44-2.60
Ag4 0.8920 0.8920 0.3012  4 F 2.44-2.73
F1 0.0000 0.5000 0.0000  2 Fe 2.01
F2 0.0038 0.0038 0.8202  2 Fe 2.08
F3 0.1262 0.5801 0.5326  1 Fe 1.88
F4 0.1571 0.6067 0.9420  2 Fe 1.95-2.06
F5 0.2456 0.2456 0.7180  1 Fe 1.88
F6 0.2961 0.7039 0.5000  2 Fe 2.03
F7 0.3666 0.3666 0.2464  2 Fe 1.99-2.03
F8 0.3933 0.8429 0.0580  2 Fe 1.95-2.06
F9 0.4199 0.8738 0.4674  1 Fe 1.88
F10 0.4800 0.4800 0.7998  3 Fe 1.98-2.17
F11 0.5000 0.0000 0.0000  2 Fe 2.01
F12 0.5200 0.5200 0.2002  3 Fe 1.98-2.17
F13 0.5801 0.1262 0.5326  1 Fe 1.88
F14 0.6067 0.1571 0.9420  2 Fe 1.95-2.06
F15 0.6334 0.6334 0.7536  2 Fe 1.99-2.03
F16 0.7039 0.2961 0.5000  2 Fe 2.03
F17 0.7544 0.7544 0.2820  1 Fe 1.88
F18 0.8429 0.3933 0.0580  2 Fe 1.95-2.06
F19 0.8738 0.4199 0.4674  1 Fe 1.88
F20 0.9962 0.9962 0.1798  2 Fe 2.08

Values from the calculation:
uncorrected energy: -4.79 eV per atom
calculated volume: 13.770 A^3/atom
spin magnetization: 0.93 μB per atom
crystal system: monoclinic

***

Record 3
An optimized crystal structure of FeAgF2, computed with PBE with a Hubbard U.

Cell: 5.6884 5.6884 5.6884 Å, 109.90 109.90 108.61°
Last column: nearest neighbours and their distance in Å.
Fractional positions:
Fe1 0.0000 0.0000 0.0000  4 F 2.00
Fe2 0.7500 0.2500 0.5000  4 F 2.00
Ag1 0.2500 0.7500 0.5000  8 F 3.07-3.08, 2 Fe 3.32
Ag2 0.5000 0.5000 0.0000  8 F 3.07-3.08, 2 Fe 3.32
F1 0.3750 0.2482 0.3732  2 Fe 2.00
F2 0.7518 0.1250 0.1268  2 Fe 2.00
F3 0.8750 0.0018 0.6268  2 Fe 2.00
F4 0.9982 0.6250 0.8732  2 Fe 2.00

Values from the calculation:
uncorrected energy: -4.34 eV per atom
calculated volume: 17.709 A^3/atom
spin magnetization: 1.00 μB per atom
crystal system: tetragonal

***

Record 4
An optimized crystal structure of Fe3Ag6F14, computed with PBE with a Hubbard U.

Cell: 8.6277 8.6277 5.5588 Å, 90.00 90.00 120.00°
Last column: nearest neighbours and their distance in Å.
Fractional positions:
Fe1 0.0000 0.0000 0.0000  4 F 1.87-1.90
Fe2 0.3333 0.6667 0.4168  4 F 1.90-1.93
Fe3 0.6667 0.3333 0.0869  6 F 1.97
Ag1 0.0463 0.4443 0.8636  7 F 2.47-2.70
Ag2 0.3140 0.1920 0.4659  5 F 2.42-2.61
Ag3 0.3980 0.9537 0.8636  7 F 2.47-2.70
Ag4 0.5557 0.6020 0.8636  7 F 2.47-2.70
Ag5 0.8080 0.1220 0.4659  5 F 2.42-2.61
Ag6 0.8780 0.6860 0.4659  5 F 2.42-2.61
F1 0.0000 0.0000 0.6577  1 Fe 1.90
F2 0.0919 0.2293 0.1309  1 Fe 1.87
F3 0.1374 0.9081 0.1309  1 Fe 1.87
F4 0.1771 0.7320 0.5823  1 Fe 1.93
F5 0.2680 0.4451 0.5823  1 Fe 1.93
F6 0.3333 0.6667 0.0746  1 Fe 1.90
F7 0.4549 0.2670 0.8835  1 Fe 1.97
F8 0.5271 0.1206 0.2895  1 Fe 1.97
F9 0.5549 0.8229 0.5823  1 Fe 1.93
F10 0.5935 0.4729 0.2895  1 Fe 1.97
F11 0.7330 0.1879 0.8835  1 Fe 1.97
F12 0.7707 0.8626 0.1309  1 Fe 1.87
F13 0.8121 0.5451 0.8835  1 Fe 1.97
F14 0.8794 0.4065 0.2895  1 Fe 1.97

Values from the calculation:
uncorrected energy: -4.21 eV per atom
calculated volume: 15.580 A^3/atom
spin magnetization: 0.62 μB per atom
crystal system: trigonal

***

Record 5
An optimized crystal structure of FeAgF2, computed with PBE with a Hubbard U.

Cell: 4.1772 4.1772 4.1772 Å, 60.00 60.00 60.00°
Last column: nearest neighbours and their distance in Å.
Fractional positions:
Fe1 0.0000 0.0000 0.0000  8 F 2.56
Ag1 0.5000 0.5000 0.5000  8 F 2.56
F1 0.2500 0.2500 0.2500  4 Fe 2.56, 4 Ag 2.56
F2 0.7500 0.7500 0.7500  4 Fe 2.56, 4 Ag 2.56

Values from the calculation:
uncorrected energy: -3.96 eV per atom
calculated volume: 12.885 A^3/atom
spin magnetization: 0.83 μB per atom
crystal system: cubic

***

Record 6
An optimized crystal structure of Fe4AgF12, computed with PBE with a Hubbard U.

Cell: 6.8216 6.8216 6.8216 Å, 110.18 109.16 109.08°
Last column: nearest neighbours and their distance in Å.
Fractional positions:
Fe1 0.0000 0.0000 0.5000  6 F 1.97-1.99
Fe2 0.0000 0.5000 0.0000  6 F 1.97-1.99
Fe3 0.5000 0.0000 0.0000  6 F 1.97-1.99
Fe4 0.5000 0.5000 0.5000  6 F 1.97-1.99
Ag1 0.0000 0.0000 0.0000  8 F 2.58-2.61
F1 0.0006 0.7244 0.2762  2 Fe 1.97
F2 0.2454 0.2179 0.4633  2 Fe 1.99
F3 0.2454 0.7821 0.0274  2 Fe 1.99
F4 0.2503 0.0326 0.7823  2 Fe 1.99
F5 0.2503 0.4679 0.2177  2 Fe 1.99
F6 0.4482 0.7244 0.7238  2 Fe 1.97
F7 0.5518 0.2756 0.2762  2 Fe 1.97
F8 0.7497 0.5321 0.7823  2 Fe 1.99
F9 0.7497 0.9674 0.2177  2 Fe 1.99
F10 0.7546 0.2179 0.9726  2 Fe 1.99
F11 0.7546 0.7821 0.5367  2 Fe 1.99
F12 0.9994 0.2756 0.7238  2 Fe 1.97

Values from the calculation:
uncorrected energy: -5.07 eV per atom
calculated volume: 14.373 A^3/atom
spin magnetization: 1.12 μB per atom
crystal system: orthorhombic